Entry 1:
Density functional theory data (PBEsol) for an optimized crystal structure of Na2YGeO.

Cell and atoms, written as extended XYZ:
```
5
Lattice="-1.708 0.784 -3.558 5.318 -1.623 -2.911 -2.003 -5.938 -0.347" Properties=species:S:1:pos:R:3 pbc="T T T"
Y 0.000 0.000 0.000
Na -1.001 -2.969 -0.174
Na 2.659 -0.812 -1.455
Ge 0.804 -3.389 -3.408
O -0.854 0.392 -1.779
```

Calculated values
* volume: 158.5 Å³ per cell
* space group: P4/mmm
* DOS at the Fermi energy: 3.12 states/eV/f.u.
* formation energy from raw total energies: -109.6 kJ/mol of formula units

=====

Entry 2:
Density functional theory data (PBEsol) for an optimized crystal structure of Na4Zr2Ge3O12.

Cell and atoms, written as extended XYZ:
```
42
Lattice="-5.227 3.989 -6.508 -8.820 -2.679 -0.779 -6.614 5.880 2.695" Properties=species:S:1:pos:R:3 pbc="T T T"
Na 0.000 0.000 0.000
Na -12.625 4.449 0.234
Na -10.331 3.595 -2.296
Na -10.928 6.507 -4.182
Na -8.036 2.742 -4.825
Na -9.734 0.684 -0.409
Na -12.641 1.640 -4.094
Na -8.021 5.550 -0.497
O -14.554 3.374 -3.950
O -14.504 5.145 -1.400
O -8.958 3.143 -0.346
O -10.917 3.068 1.622
O -6.157 2.045 -3.191
O -8.964 1.630 -2.691
O -8.039 4.262 -2.731
O -10.435 0.410 -4.706
O -7.158 0.898 -0.484
O -8.441 6.890 -3.536
O -9.888 -1.036 -2.197
O -11.974 2.205 -6.421
O -11.698 5.560 -1.900
O -11.703 4.048 -4.245
O -6.107 3.816 -0.641
O -9.745 4.122 -6.213
O -10.226 6.780 0.115
O -13.504 6.292 -4.107
O -7.095 4.984 -5.338
O -10.773 8.226 -2.394
O -12.623 2.928 -1.860
O -13.566 2.206 0.746
O -12.221 0.300 -1.056
O -8.688 4.985 1.830
Zr -17.690 6.156 -3.931
Zr -13.306 4.631 -2.957
Zr -2.971 1.034 -0.660
Zr -7.355 2.560 -1.634
Ge -11.451 3.815 -5.965
Ge -9.295 0.070 -3.421
Ge -7.329 5.546 -3.693
Ge -11.366 7.120 -1.170
Ge -13.332 1.645 -0.898
Ge -9.210 3.375 1.374
```

Calculated values
* volume: 582.0 Å³ per cell
* space group: R-3
* DOS at the Fermi energy: 0.00 states/eV/f.u.
* formation energy from raw total energies: -4574.1 kJ/mol of formula units

=====

Entry 3:
Density functional theory data (PBEsol) for an optimized crystal structure of Na5GeP3.

Cell and atoms, written as extended XYZ:
```
36
Lattice="7.291 0.000 0.000 0.000 8.023 -0.012 0.000 0.031 13.025" Properties=species:S:1:pos:R:3 pbc="T T T"
Na 2.452 3.399 5.459
Na 0.037 2.581 3.144
Na 3.764 1.418 11.872
Na 3.683 1.446 3.362
Na 7.049 5.366 1.092
Na 1.096 7.432 3.133
Na 3.403 6.684 5.402
Na 4.839 4.654 7.554
Na 3.888 1.369 7.611
Na 6.195 0.622 9.880
Na 3.527 6.635 1.140
Na 6.098 0.628 1.047
Na 2.550 3.436 9.652
Na 1.194 7.426 11.965
Na 7.254 5.472 9.868
Na 0.242 2.688 11.921
Na 0.118 2.639 7.659
Na 4.742 4.618 3.361
Na 3.608 6.608 9.650
Na 7.173 5.415 5.354
P 5.368 3.342 10.050
P 5.013 3.301 0.860
P 2.279 4.753 12.153
P 5.380 2.764 5.449
P 5.557 6.791 11.956
P 1.912 5.290 7.563
P 1.722 0.715 9.481
P 1.734 1.263 1.057
P 1.923 4.712 2.962
P 1.367 0.726 5.646
P 5.569 7.338 3.532
P 5.924 7.328 7.366
Ge 4.686 4.608 11.889
Ge 6.252 0.581 5.383
Ge 1.040 7.473 7.630
Ge 2.606 3.446 1.124
```

Calculated values
* formation enthalpy at 0 K: -33.9 kJ per mole of atoms
* volume: 762.0 Å³ per cell
* space group: P2_1/c

=====

Which of these has the highest volume? Na5GeP3

=====

What did the third record say?
Density functional theory data (PBEsol) for an optimized crystal structure of Na5GeP3.

Cell and atoms, written as extended XYZ:
```
36
Lattice="7.291 0.000 0.000 0.000 8.023 -0.012 0.000 0.031 13.025" Properties=species:S:1:pos:R:3 pbc="T T T"
Na 2.452 3.399 5.459
Na 0.037 2.581 3.144
Na 3.764 1.418 11.872
Na 3.683 1.446 3.362
Na 7.049 5.366 1.092
Na 1.096 7.432 3.133
Na 3.403 6.684 5.402
Na 4.839 4.654 7.554
Na 3.888 1.369 7.611
Na 6.195 0.622 9.880
Na 3.527 6.635 1.140
Na 6.098 0.628 1.047
Na 2.550 3.436 9.652
Na 1.194 7.426 11.965
Na 7.254 5.472 9.868
Na 0.242 2.688 11.921
Na 0.118 2.639 7.659
Na 4.742 4.618 3.361
Na 3.608 6.608 9.650
Na 7.173 5.415 5.354
P 5.368 3.342 10.050
P 5.013 3.301 0.860
P 2.279 4.753 12.153
P 5.380 2.764 5.449
P 5.557 6.791 11.956
P 1.912 5.290 7.563
P 1.722 0.715 9.481
P 1.734 1.263 1.057
P 1.923 4.712 2.962
P 1.367 0.726 5.646
P 5.569 7.338 3.532
P 5.924 7.328 7.366
Ge 4.686 4.608 11.889
Ge 6.252 0.581 5.383
Ge 1.040 7.473 7.630
Ge 2.606 3.446 1.124
```

Calculated values
* formation enthalpy at 0 K: -33.9 kJ per mole of atoms
* volume: 762.0 Å³ per cell
* space group: P2_1/c

=====

Copy entry 1 word for word.
Density functional theory data (PBEsol) for an optimized crystal structure of Na2YGeO.

Cell and atoms, written as extended XYZ:
```
5
Lattice="-1.708 0.784 -3.558 5.318 -1.623 -2.911 -2.003 -5.938 -0.347" Properties=species:S:1:pos:R:3 pbc="T T T"
Y 0.000 0.000 0.000
Na -1.001 -2.969 -0.174
Na 2.659 -0.812 -1.455
Ge 0.804 -3.389 -3.408
O -0.854 0.392 -1.779
```

Calculated values
* volume: 158.5 Å³ per cell
* space group: P4/mmm
* DOS at the Fermi energy: 3.12 states/eV/f.u.
* formation energy from raw total energies: -109.6 kJ/mol of formula units